Compound: FeAgClF2
Source: Alexandria
Functional: GGA+U
Structure: relaxed

```
FeAgClF2
1.0
3.979 0.000 0.000
0.000 3.979 0.000
0.000 0.000 5.382
Fe Ag Cl F
1 1 1 2
direct
0.000 0.000 0.000
0.500 0.500 0.500
0.000 0.000 0.500
0.000 0.500 0.000
0.500 0.000 0.000
```

Calculated total energy = -4.140 eV/atom
Calculated volume = 17.04 A^3/atom
N(E_F) = 2.8 states/eV per cell
Crystal system = tetragonal